Compound: LiNdGe2Ru
Source: Alexandria
Functional: PBE-GGA
Structure: optimized geometry

Structure (POSCAR):
```
LiNdGe2Ru
1.0
4.2154 0.0000 0.0000
0.0000 4.2154 0.0000
-2.1077 -2.1077 5.2463
Li Nd Ge Ru
1 1 2 1
Direct
0.7500 0.2500 0.5000 Li
0.0000 0.0000 0.0000 Nd
0.6259 0.6259 0.2519 Ge
0.3741 0.3741 0.7481 Ge
0.2500 0.7500 0.5000 Ru
```

Output
* electronic total energy: -5.58 eV per atom
* space group: I-4m2 (119)
* ΔE_f: -0.5386 eV per atom